Here is a relaxed structure of CdInSn from Alexandria via LeMat-Bulk. Energies are from PBE.

The space group is I4mm (No. 107) and the conventional cell measures 3.4212, 3.4212 and 13.3173 Å, with angles of 90.00, 90.00 and 90.00 degrees. The inequivalent atoms are Cd at (0.0000, 0.0000, 0.0000), In at (0.0000, 0.0000, 0.3362) and Sn at (0.0000, 0.0000, 0.6630).

The energy of formation is 0.039 eV per atom. As for the magnetic moment: 0.0 μB/f.u. For the density, the calculation gives 7.4 g/cm3. The calculation puts the density of states at the Fermi level at 1.26 states/eV/f.u. The calculated volume comes out at 25.978 Å³ per atom.


Here is a relaxed structure of Sm3Tm3Th from Alexandria via LeMat-Bulk. Energies are from PBE.

The space group is P6_3/m (No. 176) and the conventional cell measures 9.5900, 9.5900 and 5.6902 Å, with angles of 90.00, 90.00 and 120.00 degrees. The inequivalent atoms are Sm at (0.0568, 0.2458, 0.2500), Tm at (0.0954, 0.4812, 0.7500) and Th at (0.3333, 0.6667, 0.2500).

The energy of formation is 0.027 eV per atom. As for the magnetic moment: 0.0 μB/f.u. For the density, the calculation gives 8.7 g/cm3. The calculation puts the density of states at the Fermi level at 10.50 states/eV/f.u. The calculated volume comes out at 32.373 Å³ per atom.


Here is a relaxed structure of TbPu2MoN4 from Alexandria via LeMat-Bulk. Energies are from PBE.

The space group is Cmcm (No. 63) and the conventional cell measures 3.3359, 11.7283 and 11.5851 Å, with angles of 90.00, 90.00 and 90.00 degrees. The inequivalent atoms are Tb at (0.0000, 0.1217, 0.2500), Pu at (0.0000, 0.3683, 0.0454), Mo at (0.0000, 0.1410, 0.7500), N at (0.0000, 0.0000, 0.0000), N at (0.0000, 0.2673, 0.6238) and N at (0.0000, 0.4689, 0.2500).

As for the magnetic moment: 7.7 μB/f.u. For the density, the calculation gives 11.7 g/cm3. The calculation puts the density of states at the Fermi level at 11.06 states/eV/f.u. The energy relative to the elements, uncorrected comes out at -981 meV per atom. The calculated volume comes out at 14.164 Å³ per atom.


- Look up the density of the third one.
  11.7 g/cm3


- What is the calculated volume in the third record?
  14.164 Å³ per atom


- density of number 2 (Sm3Tm3Th)?
  8.7 g/cm3


- Which value of magnetic moment does entry 2 give?
  0.0 μB/f.u.